No. 1
# PrNpSe2N

A relaxed PrNpSe2N crystal (GGA-PBE, Alexandria).

```
data_PrNpSe2N
_cell_length_a 3.982
_cell_length_b 3.982
_cell_length_c 15.082
_cell_angle_alpha 90.00
_cell_angle_beta 90.00
_cell_angle_gamma 90.00
_symmetry_space_group_name_H-M 'P 4/n m m'
_symmetry_Int_Tables_number 129
loop_
_symmetry_equiv_pos_as_xyz
'x,y,z'
'-x,-y,-z'
'-y+1/2,x,z'
'y+1/2,-x,-z'
'-x+1/2,-y+1/2,z'
'x+1/2,y+1/2,-z'
'y,-x+1/2,z'
'-y,x+1/2,-z'
'x+1/2,-y,-z'
'-x+1/2,y,z'
'-y,-x,-z'
'y,x,z'
'-x,y+1/2,-z'
'x,-y+1/2,z'
'y+1/2,x+1/2,-z'
'-y+1/2,-x+1/2,z'
loop_
_atom_site_label
_atom_site_type_symbol
_atom_site_fract_x
_atom_site_fract_y
_atom_site_fract_z
Pr1 Pr 0.250 0.250 0.135
Np1 Np 0.250 0.250 0.573
Se1 Se 0.250 0.250 0.323
Se2 Se 0.250 0.250 0.914
N1 N 0.250 0.750 0.500
```

Output
E_form (uncorrected)	-1484	meV per atom

***

No. 2
# Pr2NpSe2N2

A relaxed Pr2NpSe2N2 crystal (GGA-PBE, Alexandria).

```
data_Pr2NpSe2N2
_cell_length_a 12.296
_cell_length_b 4.001
_cell_length_c 7.281
_cell_angle_alpha 90.00
_cell_angle_beta 121.58
_cell_angle_gamma 90.00
_symmetry_space_group_name_H-M 'C 1 2/m 1'
_symmetry_Int_Tables_number 12
_symmetry_space_group_name_Hall '-C 2y'
loop_
_atom_site_label
_atom_site_type_symbol
_atom_site_fract_x
_atom_site_fract_y
_atom_site_fract_z
Pr1 Pr 0.194 0.000 0.243
Np1 Np 0.000 0.000 0.500
Se1 Se 0.070 0.500 0.838
N1 N 0.183 0.000 0.571
```

Output
E_form (uncorrected)	-1579	meV per atom

***

- Which of these has the highest E_form (uncorrected)?
  PrNpSe2N